# 1
Entry from Alexandria via LeMat-Bulk: crystalline BeCrCo4 at its relaxed geometry (GGA-PBE).

Results
Energy relative to the lowest polymorph listed for this composition ... 0.0000 eV per atom

```
data_BeCrCo4
_cell_length_a 6.467
_cell_length_b 6.467
_cell_length_c 6.467
_cell_angle_alpha 90.00
_cell_angle_beta 90.00
_cell_angle_gamma 90.00
_symmetry_space_group_name_H-M 'F -4 3 m'
_symmetry_Int_Tables_number 216
_symmetry_space_group_name_Hall 'F -4 2 3'
loop_
_atom_site_label
_atom_site_type_symbol
_atom_site_fract_x
_atom_site_fract_y
_atom_site_fract_z
_atom_site_occupancy
Be1 Be 0.000 0.000 0.000 1
Cr1 Cr 0.250 0.250 0.250 1
Co1 Co 0.125 0.125 0.625 1
```

---

# 2
Entry from Alexandria via LeMat-Bulk: crystalline BeCr2Co at its relaxed geometry (GGA-PBE).

```
data_BeCr2Co
_cell_length_a 2.461
_cell_length_b 2.461
_cell_length_c 6.818
_cell_angle_alpha 90.00
_cell_angle_beta 90.00
_cell_angle_gamma 90.00
_symmetry_space_group_name_H-M 'P 4/m m m'
_symmetry_Int_Tables_number 123
_symmetry_space_group_name_Hall '-P 4 2'
loop_
_atom_site_label
_atom_site_type_symbol
_atom_site_fract_x
_atom_site_fract_y
_atom_site_fract_z
_atom_site_occupancy
Be1 Be 0.000 0.000 0.000 1
Cr1 Cr 0.500 0.500 0.240 1
Co1 Co 0.000 0.000 0.500 1
```

---

Number 1: E_form 0.276 eV/atom, volume 11.27 Å³ per atom, total energy -160.5 eV/cell. Number 2: E_form 0.038 eV/atom, volume 10.33 Å³ per atom, total energy -29.9 eV/cell.